Entry 1:
This record from the Alexandria database describes a relaxed structure of LaB6Ir5. The functional is PBE.

Calculated values
- ΔE_f (eV/atom) = -0.292
- symmetry = P-1 (2)
- volume (A^3/atom) = 12.4
- total energy (eV per formula unit) = -92.81

The structure in POSCAR format:
```
LaB6Ir5
1.0
5.9001 0.6731 -1.6469
-0.3831 5.6469 -1.7732
-1.3212 -1.7254 5.3327
B Ir La
6 5 1
direct
0.7483 0.4682 0.9294
0.5855 0.1392 0.5530
0.2517 0.5318 0.0706
0.8192 0.4674 0.3604
0.4145 0.8608 0.4470
0.1808 0.5326 0.6396
0.0728 0.7216 0.3913
0.4754 0.2261 0.9059
0.5246 0.7739 0.0941
0.9272 0.2784 0.6087
0.5000 0.5000 0.5000
0.0000 0.0000 0.0000
```


Entry 2:
This record from the Alexandria database describes a relaxed structure of LaB2Ir5. The functional is PBE.

Calculated values
- ΔE_f (eV/atom) = -0.332
- symmetry = Immm (71)
- volume (A^3/atom) = 14.7
- total energy (eV per formula unit) = -65.24

The structure in POSCAR format:
```
LaB2Ir5
1.0
-3.9124 0.1484 0.7787
-1.0092 -1.8860 5.5213
-1.1112 4.3920 3.8126
La B Ir
1 2 5
direct
0.0000 0.0000 0.0000
0.2390 0.2610 0.2610
0.7610 0.7390 0.7390
0.6521 0.5530 0.1428
0.0000 0.5000 0.5000
0.3479 0.4470 0.8572
0.3479 0.8572 0.4470
0.6521 0.1428 0.5530
```


Entry 3:
This record from the Alexandria database describes a relaxed structure of LaB2Ir2. The functional is PBE.

Calculated values
- ΔE_f (eV/atom) = -0.354
- symmetry = I4_1/amd (141)
- volume (A^3/atom) = 15.3
- total energy (eV per formula unit) = -37.77

The structure in POSCAR format:
```
LaB2Ir2
1.0
2.3972 3.8183 7.1425
-6.3408 4.0117 3.8784
0.9887 -7.7912 -3.1083
B Ir La
8 8 4
direct
0.2578 0.3932 0.8646
0.5287 0.3932 0.1354
0.6068 0.4713 0.8646
0.1432 0.7787 0.6354
0.6068 0.7422 0.1354
0.1432 0.5078 0.3646
0.2213 0.8568 0.3646
0.4922 0.8568 0.6354
0.4685 0.1814 0.7130
0.9314 0.7185 0.2130
0.2815 0.4945 0.2130
0.2445 0.5315 0.7130
0.2815 0.0686 0.7870
0.5055 0.7185 0.7870
0.4685 0.7555 0.2870
0.8186 0.5315 0.2870
0.8750 0.1250 0.2500
0.8750 0.1250 0.7500
0.8750 0.6250 0.7500
0.3750 0.1250 0.2500
```


Entry 4:
This record from the Alexandria database describes a relaxed structure of LaBIr2. The functional is PBE.

Calculated values
- ΔE_f (eV/atom) = -0.318
- symmetry = I-42d (122)
- volume (A^3/atom) = 20.6
- total energy (eV per formula unit) = -30.60

The structure in POSCAR format:
```
LaBIr2
1.0
4.9008 0.0000 0.0000
0.0000 4.9008 0.0000
2.4504 2.4504 6.8549
Ir B La
4 2 2
direct
0.4364 0.6250 0.2500
0.8750 0.5636 0.7500
0.3136 0.1250 0.2500
0.3750 0.6864 0.7500
0.5000 0.5000 0.0000
0.2500 0.7500 0.5000
0.7500 0.2500 0.5000
0.0000 0.0000 0.0000
```


Entry 5:
This record from the Alexandria database describes a relaxed structure of La2MgBIr. The functional is PBE.

Calculated values
- ΔE_f (eV/atom) = -0.314
- symmetry = P4/mmm (123)
- volume (A^3/atom) = 24.3
- total energy (eV per formula unit) = -28.56

The structure in POSCAR format:
```
La2MgBIr
1.0
-3.7049 -0.5596 3.9995
-3.0552 -3.1610 -3.2724
1.9514 -3.2820 1.3484
Ir B La Mg
1 1 2 1
direct
0.0000 0.0000 0.5000
0.0000 0.0000 0.0000
0.0000 0.5000 0.0000
0.5000 0.0000 0.0000
0.5000 0.5000 0.5000
```


Entry 6:
This record from the Alexandria database describes a relaxed structure of LaNiBIr2. The functional is PBE.

Calculated values
- ΔE_f (eV/atom) = 2.400
- energy above the lowest structure with this stoichiometry (eV/atom) = 2.8850
- symmetry = P4/mmm (123)
- volume (A^3/atom) = 22.4
- total energy (eV per formula unit) = -23.11

The structure in POSCAR format:
```
LaNiBIr2
1.0
-3.1772 3.7507 0.2470
-1.8367 -1.2903 -4.0319
-3.2081 -2.8743 2.3813
Ir Ni La B
2 1 1 1
direct
0.5000 0.0000 0.0000
0.0000 0.0000 0.5000
0.5000 0.5000 0.5000
0.0000 0.0000 0.0000
0.0000 0.5000 0.0000
```


Entry 7:
This record from the Alexandria database describes a relaxed structure of LaNiBIr2. The functional is PBE.

Calculated values
- ΔE_f (eV/atom) = -0.485
- energy above the lowest structure with this stoichiometry (eV/atom) = 0.0000
- symmetry = P4/mmm (123)
- volume (A^3/atom) = 15.4
- total energy (eV per formula unit) = -37.53

The structure in POSCAR format:
```
LaNiBIr2
1.0
-3.2108 -1.3685 -2.4514
-1.7395 -1.9535 3.3689
-2.1940 3.5203 0.9084
Ir B La Ni
2 1 1 1
direct
0.0000 0.5000 0.0000
0.5000 0.0000 0.0000
0.0000 0.0000 0.0000
0.5000 0.5000 0.5000
0.0000 0.0000 0.5000
```


Entry 8:
This record from the Alexandria database describes a relaxed structure of LaB4Ir2Os2. The functional is PBE.

Calculated values
- ΔE_f (eV/atom) = -0.500
- symmetry = P4_2 (77)
- volume (A^3/atom) = 13.2
- total energy (eV per formula unit) = -76.32

The structure in POSCAR format:
```
LaB4Ir2Os2
1.0
-6.3032 0.3742 4.3921
-4.3226 -2.0262 -6.0309
0.4496 -3.8580 0.9739
B Os Ir La
8 4 4 2
direct
0.7225 0.3377 0.6434
0.6623 0.7225 0.1434
0.2775 0.6623 0.6434
0.7844 0.1611 0.3613
0.8389 0.7844 0.8613
0.1611 0.2156 0.8613
0.3377 0.2775 0.1434
0.2156 0.8389 0.3613
0.1083 0.8549 0.8577
0.8549 0.8917 0.3577
0.1451 0.1083 0.3577
0.8917 0.1451 0.8577
0.6547 0.6095 0.6402
0.3453 0.3905 0.6402
0.6095 0.3453 0.1402
0.3905 0.6547 0.1402
0.5000 0.0000 0.7448
0.0000 0.5000 0.2448
```


Entry 9:
This record from the Alexandria database describes a relaxed structure of LaBIrOs2. The functional is PBE.

Calculated values
- ΔE_f (eV/atom) = 3.482
- energy above the lowest structure with this stoichiometry (eV/atom) = 3.1390
- symmetry = P4/mmm (123)
- volume (A^3/atom) = 24.2
- total energy (eV per formula unit) = -25.51

The structure in POSCAR format:
```
LaBIrOs2
1.0
4.9404 0.0000 0.0000
0.0000 4.9520 0.0000
0.0000 0.0000 4.9404
B Os La Ir
1 2 1 1
direct
0.5000 0.5000 0.5000
0.0000 0.0000 0.5000
0.5000 0.0000 0.0000
0.0000 0.0000 0.0000
0.0000 0.5000 0.0000
```


Entry 10:
This record from the Alexandria database describes a relaxed structure of LaBIrOs2. The functional is PBE.

Calculated values
- ΔE_f (eV/atom) = 0.343
- energy above the lowest structure with this stoichiometry (eV/atom) = 0.0000
- symmetry = P4/mmm (123)
- volume (A^3/atom) = 16.8
- total energy (eV per formula unit) = -41.21

The structure in POSCAR format:
```
LaBIrOs2
1.0
-2.3086 -1.8886 -2.8589
-1.8428 -2.9661 3.4476
-3.0550 2.6956 0.6862
B Ir Os La
1 1 2 1
direct
0.0000 0.0000 0.0000
0.5000 0.5000 0.5000
0.5000 0.0000 0.0000
0.0000 0.0000 0.5000
0.0000 0.5000 0.0000
```


Entry 11:
This record from the Alexandria database describes a relaxed structure of LaBPIr6. The functional is PBE.

Calculated values
- ΔE_f (eV/atom) = -0.052
- symmetry = Imma (74)
- volume (A^3/atom) = 17.3
- total energy (eV per formula unit) = -70.65

The structure in POSCAR format:
```
LaBPIr6
1.0
-1.3872 -4.3769 -6.8048
3.8473 -5.1281 2.5142
-5.7130 2.5363 4.4847
B Ir P La
2 12 2 2
direct
0.0000 0.0000 0.5000
0.5000 0.0000 0.5000
0.8473 0.6579 0.2474
0.4001 0.6579 0.2474
0.1527 0.3421 0.7526
0.4001 0.0895 0.2474
0.5999 0.9105 0.7526
0.8473 0.0895 0.2474
0.3597 0.6097 0.7195
0.5999 0.3421 0.7526
0.7959 0.0459 0.5918
0.1527 0.9105 0.7526
0.6403 0.3903 0.2805
0.2041 0.9541 0.4082
0.5000 0.5000 0.0000
0.5000 0.0000 0.0000
0.0806 0.3306 0.1612
0.9194 0.6694 0.8388
```


Entry 12:
This record from the Alexandria database describes a relaxed structure of LaBIr2Pd. The functional is PBE.

Calculated values
- ΔE_f (eV/atom) = -0.594
- symmetry = P4/mmm (123)
- volume (A^3/atom) = 16.3
- total energy (eV per formula unit) = -37.49

The structure in POSCAR format:
```
LaBIr2Pd
1.0
-3.0750 1.2825 -2.6845
-2.6980 -2.8293 1.7387
-1.3071 3.0669 2.9624
La Ir B Pd
1 2 1 1
direct
0.5000 0.5000 0.5000
0.5000 0.0000 0.0000
0.0000 0.5000 0.0000
0.0000 0.0000 0.0000
0.0000 0.0000 0.5000
```